The following is a GGA-PBE calculation of an optimized crystal structure of HoAl3Ir3, from Alexandria.

Unit cell a=6.6849 b=6.6849 c=6.6849 alpha=90.00 beta=90.00 gamma=90.00
Space group Pm-3n (No. 223)
Inequivalent atoms, fractional coordinates:
Ho 0.0000 0.0000 0.0000 (multiplicity 2)
Al 0.0000 0.2500 0.5000 (multiplicity 6)
Ir 0.0000 0.5000 0.2500 (multiplicity 6)

Properties
* calculated total energy: -0.452 Ry per atom